No. 1
# PBE Li3Zn2Ga4, relaxed
# * theoretical density: 4804 kg/m3
# * relative energy among the computed polymorphs: 0.05 eV/f.u.
# * Fermi-level density of states: 11.722 states/eV per cell
# * E_tot: -89.821 eV/cell
data_Li3Zn2Ga4
_cell_length_a 7.5943
_cell_length_b 13.1904
_cell_length_c 5.9430
_cell_angle_alpha 90.00
_cell_angle_beta 90.00
_cell_angle_gamma 90.00
_symmetry_space_group_name_H-M 'C c c m'
_symmetry_Int_Tables_number 66
_symmetry_space_group_name_Hall '-C 2 2c'
loop_
_atom_site_label
_atom_site_fract_x
_atom_site_fract_y
_atom_site_fract_z
_atom_site_occupancy
Li1 0.0000 0.0000 0.2500 1
Li2 0.0000 0.3313 0.2500 1
Zn1 0.1679 0.1679 0.0000 1
Ga1 0.1637 0.1670 0.5000 1
Ga2 0.1689 0.4987 0.0000 1

---

No. 2
# PBE K2RbCoSe, relaxed
# * theoretical density: 2482 kg/m3
# * relative energy among the computed polymorphs: 0.00 eV/f.u.
# * E_form (uncorrected): -33 meV/atom
# * Fermi-level density of states: 4.371 states/eV per cell
# * E_tot: -13.918 eV/cell
data_K2RbCoSe
_cell_length_a 6.6778
_cell_length_b 6.6778
_cell_length_c 4.5238
_cell_angle_alpha 90.00
_cell_angle_beta 90.00
_cell_angle_gamma 90.00
_symmetry_space_group_name_H-M 'P 4/m m m'
_symmetry_Int_Tables_number 123
_symmetry_space_group_name_Hall '-P 4 2'
loop_
_atom_site_label
_atom_site_fract_x
_atom_site_fract_y
_atom_site_fract_z
_atom_site_occupancy
K1 0.0000 0.5000 0.0000 1
Rb1 0.0000 0.0000 0.5000 1
Co1 0.5000 0.5000 0.5000 1
Se1 0.5000 0.5000 0.0000 1

---

No. 3
# PBE Li2ZrGaO4, relaxed
# * theoretical density: 4427 kg/m3
# * E_form (uncorrected): -2214 meV/atom
# * Fermi-level density of states: 2.502 states/eV per cell
# * E_tot: -105.902 eV/cell
data_Li2ZrGaO4
_cell_length_a 4.2571
_cell_length_b 4.2571
_cell_length_c 9.8863
_cell_angle_alpha 90.00
_cell_angle_beta 90.00
_cell_angle_gamma 90.00
_symmetry_space_group_name_H-M 'I -4 m 2'
_symmetry_Int_Tables_number 119
_symmetry_space_group_name_Hall 'I -4 -2'
loop_
_atom_site_label
_atom_site_fract_x
_atom_site_fract_y
_atom_site_fract_z
_atom_site_occupancy
Li1 0.0000 0.0000 0.0000 1
Li2 0.0000 0.5000 0.2500 1
Zr1 0.0000 0.5000 0.7500 1
Ga1 0.0000 0.0000 0.5000 1
O1 0.0000 0.0000 0.2493 1
O2 0.0000 0.5000 0.5315 1

---

No. 4
# PBE SrAsWSe2, relaxed
# * theoretical density: 6628 kg/m3
# * relative energy among the computed polymorphs: 0.00 eV/f.u.
# * E_form (uncorrected): -416 meV/atom
# * Fermi-level density of states: 3.324 states/eV per cell
# * E_tot: -28.335 eV/cell
data_SrAsWSe2
_cell_length_a 5.0728
_cell_length_b 5.0728
_cell_length_c 4.9097
_cell_angle_alpha 90.00
_cell_angle_beta 90.00
_cell_angle_gamma 90.00
_symmetry_space_group_name_H-M 'P 4/m m m'
_symmetry_Int_Tables_number 123
_symmetry_space_group_name_Hall '-P 4 2'
loop_
_atom_site_label
_atom_site_fract_x
_atom_site_fract_y
_atom_site_fract_z
_atom_site_occupancy
Sr1 0.0000 0.0000 0.0000 1
As1 0.5000 0.5000 0.0000 1
W1 0.5000 0.5000 0.5000 1
Se1 0.0000 0.5000 0.5000 1